LaMn2Ru: optimized geometry, PBE.

Lattice parameters (Å, degrees): 3.270 4.779 10.009 90.00 90.00 90.00
Sites, in units of the cell vectors:
La1 0.000 0.000 0.000
La2 0.500 0.500 0.500
Mn1 0.000 0.500 0.216
Mn2 0.000 0.500 0.784
Mn3 0.500 0.000 0.284
Mn4 0.500 0.000 0.716
Ru1 0.000 0.000 0.500
Ru2 0.500 0.500 0.000

energy of formation: 0.320 eV per atom
DOS(E_F): 0.95 states/eV per atom
VASP energy: -7.82 eV/atom


HfUIr2: optimized geometry, PBE.

Lattice parameters (Å, degrees): 3.823 3.823 19.451 90.00 90.00 120.00
Sites, in units of the cell vectors:
Hf1 0.000 0.000 0.000
Hf2 0.333 0.667 0.667
Hf3 0.667 0.333 0.333
U1 0.000 0.000 0.500
U2 0.333 0.667 0.167
U3 0.667 0.333 0.833
Ir1 0.000 0.000 0.250
Ir2 0.000 0.000 0.750
Ir3 0.333 0.667 0.416
Ir4 0.333 0.667 0.917
Ir5 0.667 0.333 0.083
Ir6 0.667 0.333 0.584

energy of formation: -0.540 eV per atom
DOS(E_F): 1.34 states/eV per atom
VASP energy: -10.28 eV/atom


CuSbOs2: optimized geometry, PBE.

Lattice parameters (Å, degrees): 2.937 4.516 4.760 90.00 90.00 90.00
Sites, in units of the cell vectors:
Cu1 0.000 0.000 0.000
Sb1 0.500 0.000 0.500
Os1 0.000 0.500 0.500
Os2 0.500 0.500 0.000

formation energy from raw total energies: 0.7233 eV/atom
DOS(E_F): 0.84 states/eV per atom
VASP energy: -6.95 eV/atom


La4TlInCo: optimized geometry, PBE.

Lattice parameters (Å, degrees): 9.144 9.144 7.356 90.00 90.00 132.62
Sites, in units of the cell vectors:
La1 0.000 0.500 0.000
La2 0.000 0.500 0.500
La3 0.074 0.926 0.750
La4 0.426 0.574 0.750
La5 0.500 0.000 0.000
La6 0.500 0.000 0.500
La7 0.574 0.426 0.250
La8 0.926 0.074 0.250
Tl1 0.115 0.885 0.250
Tl2 0.885 0.115 0.750
In1 0.384 0.616 0.250
In2 0.616 0.384 0.750
Co1 0.251 0.749 0.750
Co2 0.749 0.251 0.250

energy of formation: -0.260 eV per atom
DOS(E_F): 1.04 states/eV per atom
VASP energy: -4.82 eV/atom


SmTiSi2: optimized geometry, PBE.

Lattice parameters (Å, degrees): 4.204 4.204 15.773 90.00 90.00 120.00
Sites, in units of the cell vectors:
Sm1 0.000 0.000 0.000
Sm2 0.333 0.667 0.667
Sm3 0.667 0.333 0.333
Ti1 0.000 0.000 0.500
Ti2 0.333 0.667 0.167
Ti3 0.667 0.333 0.833
Si1 0.000 0.000 0.225
Si2 0.000 0.000 0.775
Si3 0.333 0.667 0.442
Si4 0.333 0.667 0.892
Si5 0.667 0.333 0.108
Si6 0.667 0.333 0.558

formation energy from raw total energies: -0.5074 eV/atom
DOS(E_F): 0.55 states/eV per atom
VASP energy: -6.37 eV/atom


GaCu2RuRh: optimized geometry, PBE.

Lattice parameters (Å, degrees): 4.547 4.547 4.601 90.00 90.00 90.00
Sites, in units of the cell vectors:
Ga1 0.000 0.000 0.000
Cu1 0.000 0.500 0.500
Cu2 0.500 0.000 0.500
Ru1 0.000 0.000 0.500
Rh1 0.500 0.500 0.000

energy of formation: 1.160 eV per atom
DOS(E_F): 1.21 states/eV per atom
VASP energy: -4.41 eV/atom


Which total moment belongs to each record? In order, 8.1, 0.8, 0.0, 0.0, 0.0, 1.7 μB per formula unit.